Entry from Alexandria: an optimized crystal structure of RbPd3Pb6 (PBE-GGA).

Structure (POSCAR):
```
RbPd3Pb6
1.0
1.560 -6.671 -2.250
3.809 3.201 5.050
-6.284 0.207 4.009
Rb Pd Pb
1 3 6
direct
0.929 0.985 0.931
0.591 0.371 0.954
0.355 0.604 0.953
0.373 0.105 0.404
0.229 0.346 0.573
0.130 0.616 0.230
0.634 0.087 0.213
0.273 0.885 0.696
0.843 0.414 0.724
0.642 0.586 0.322
```

Results
- volume (Å³ per atom) = 28.5
- calculated formation energy (eV per formula unit) = -1.477
- density (Mg/m³) = 9.60
- total magnetic moment (μB per formula unit) = 0.00

---

Entry from Alexandria: an optimized crystal structure of RbPdPb6 (PBE-GGA).

Structure (POSCAR):
```
RbPdPb6
1.0
4.985 0.000 0.000
0.000 4.985 0.000
0.000 0.000 10.672
Rb Pd Pb
1 1 6
direct
0.000 0.000 0.000
0.000 0.000 0.500
0.500 0.000 0.656
0.000 0.500 0.656
0.500 0.500 0.153
0.500 0.500 0.847
0.000 0.500 0.344
0.500 0.000 0.344
```

Results
- volume (Å³ per atom) = 33.2
- calculated formation energy (eV per formula unit) = -0.813
- density (Mg/m³) = 8.98
- total magnetic moment (μB per formula unit) = 0.00